Run a
DFT (PBE-GGA) results for a geometry-optimized LaTm2Al6 structure.

Geometry as POSCAR:
```
LaTm2Al6
1.0
-2.211 3.638 6.643
2.211 -3.638 6.643
2.211 3.638 -6.643
La Tm Al
1 2 6
Direct
0.000 0.000 0.000
0.377 0.877 0.500
0.623 0.123 0.500
0.011 0.313 0.698
0.321 0.500 0.821
0.386 0.687 0.698
0.614 0.313 0.302
0.679 0.500 0.179
0.989 0.687 0.302
```

Space-group type: Immm
Volume, Å³ per atom: 23.75

---

Run b
DFT (PBE-GGA) results for a geometry-optimized LaTm2Al6 structure.

Geometry as POSCAR:
```
LaTm2Al6
1.0
7.979 0.000 0.000
-3.989 6.910 0.000
0.000 0.000 3.509
La Tm Al
1 2 6
Direct
0.000 0.000 0.000
0.333 0.667 0.000
0.667 0.333 0.000
0.000 0.337 0.500
0.000 0.663 0.500
0.337 0.000 0.500
0.337 0.337 0.500
0.663 0.000 0.500
0.663 0.663 0.500
```

Space-group type: P6/mmm
Volume, Å³ per atom: 21.49

---

Among the structures shown above, run b is the most stable, with the second-best lying 16.1 kJ/mol of atoms higher.